[1]
# FeCoSb2

A crystal of FeCoSb2 relaxed with PBEsol (meta-GGA SCAN, the Alexandria database).

Cell: 3.1830 3.1830 22.3977 Å, 90.00 90.00 120.00°
Space group R-3m (No. 166, hexagonal axes)
Asymmetric unit:
Fe (0.0000, 0.0000, 0.0000) [3 per cell]
Co (0.0000, 0.0000, 0.5000) [3 per cell]
Sb (0.0000, 0.0000, 0.2489) [6 per cell]

Formation energy from raw total energies (meV per atom): 382

=====

[2]
# CsYTeN2

A crystal of CsYTeN2 relaxed with PBEsol (meta-GGA SCAN, the Alexandria database).

Cell: 4.354 4.354 6.487 Å, 90.00 90.00 90.00°
Space group P4/mmm (No. 123)
Asymmetric unit:
Cs (0.000, 0.000, 0.000) [1 per cell]
Y (0.500, 0.500, 0.500) [1 per cell]
Te (0.000, 0.000, 0.500) [1 per cell]
N (0.000, 0.500, 0.000) [2 per cell]

Formation energy from raw total energies (meV per atom): 1489

=====

[3]
# CuRuRh2

A crystal of CuRuRh2 relaxed with PBEsol (meta-GGA SCAN, the Alexandria database).

Cell: 2.676 2.676 7.254 Å, 90.00 90.00 90.00°
Space group P4/mmm (No. 123)
Asymmetric unit:
Cu (0.000, 0.000, 0.000) [1 per cell]
Ru (0.000, 0.000, 0.500) [1 per cell]
Rh (0.500, 0.500, 0.249) [2 per cell]

DFT formation energy (eV per atom): 0.032
ΔE to the lowest computed polymorph (meV/atom): 0

=====

[4]
# TlCoPS2

A crystal of TlCoPS2 relaxed with PBEsol (meta-GGA SCAN, the Alexandria database).

Cell: 5.017 5.017 4.953 Å, 90.00 90.00 90.00°
Space group P4/mmm (No. 123)
Asymmetric unit:
Tl (0.000, 0.000, 0.000) [1 per cell]
Co (0.500, 0.500, 0.500) [1 per cell]
P (0.000, 0.000, 0.500) [1 per cell]
S (0.000, 0.500, 0.000) [2 per cell]

Formation energy from raw total energies (meV per atom): 1477

=====

[5]
# MgSc5

A crystal of MgSc5 relaxed with PBEsol (meta-GGA SCAN, the Alexandria database).

Cell: 4.503 13.828 4.511 Å, 90.00 90.00 90.00°
Space group Cmmm (No. 65)
Asymmetric unit:
Mg (0.000, 0.000, 0.000) [2 per cell]
Sc (0.000, 0.171, 0.500) [4 per cell]
Sc (0.000, 0.334, 0.000) [4 per cell]
Sc (0.000, 0.500, 0.500) [2 per cell]

DFT formation energy (eV per atom): 0.035
ΔE to the lowest computed polymorph (meV/atom): 38

=====

[6]
# TlMoIr2

A crystal of TlMoIr2 relaxed with PBEsol (meta-GGA SCAN, the Alexandria database).

Cell: 4.022 4.022 7.826 Å, 90.00 90.00 90.00°
Space group I4/mmm (No. 139)
Asymmetric unit:
Tl (0.000, 0.000, 0.000) [2 per cell]
Mo (0.000, 0.000, 0.500) [2 per cell]
Ir (0.000, 0.500, 0.250) [4 per cell]

DFT formation energy (eV per atom): 0.339
ΔE to the lowest computed polymorph (meV/atom): 51

=====

[7]
# Li4Cr3CuO8

A crystal of Li4Cr3CuO8 relaxed with PBEsol (meta-GGA SCAN, the Alexandria database).

Cell: 5.8067 5.8067 14.1253 Å, 90.00 90.00 120.00°
Space group R-3m (No. 166, hexagonal axes)
Asymmetric unit:
Li (0.0000, 0.0000, 0.0000) [3 per cell]
Li (0.0000, 0.5000, 0.0000) [9 per cell]
Cr (0.0000, 0.5000, 0.5000) [9 per cell]
Cu (0.0000, 0.0000, 0.5000) [3 per cell]
O (0.0000, 0.0000, 0.2428) [6 per cell]
O (0.0160, 0.5080, 0.7583) [18 per cell]

Formation energy from raw total energies (meV per atom): -2224

=====

[8]
# NdB2Rh3

A crystal of NdB2Rh3 relaxed with PBEsol (meta-GGA SCAN, the Alexandria database).

Cell: 5.4416 5.4416 3.0687 Å, 90.00 90.00 120.00°
Space group P6/mmm (No. 191)
Asymmetric unit:
Nd (0.0000, 0.0000, 0.0000) [1 per cell]
B (0.3333, 0.6667, 0.0000) [2 per cell]
Rh (0.0000, 0.5000, 0.5000) [3 per cell]

DFT formation energy (eV per atom): -0.777

=====

[9]
# TlNiAg

A crystal of TlNiAg relaxed with PBEsol (meta-GGA SCAN, the Alexandria database).

Cell: 6.176 6.176 6.176 Å, 90.00 90.00 90.00°
Space group F-43m (No. 216)
Asymmetric unit:
Tl (0.000, 0.000, 0.000) [4 per cell]
Ni (0.250, 0.250, 0.250) [4 per cell]
Ag (0.250, 0.250, 0.750) [4 per cell]

DFT formation energy (eV per atom): 0.617
ΔE to the lowest computed polymorph (meV/atom): 168

=====

[10]
# SbPb3

A crystal of SbPb3 relaxed with PBEsol (meta-GGA SCAN, the Alexandria database).

Cell: 11.610 3.478 5.868 Å, 90.00 101.35 90.00°
Space group C2/m (No. 12)
Asymmetric unit:
Sb (0.000, 0.000, 0.000) [2 per cell]
Pb (0.000, 0.500, 0.500) [2 per cell]
Pb (0.246, 0.500, 0.243) [4 per cell]

Formation energy from raw total energies (meV per atom): 79

=====

[11]
# CaTlPb3

A crystal of CaTlPb3 relaxed with PBEsol (meta-GGA SCAN, the Alexandria database).

Cell: 5.741 5.741 5.741 Å, 90.00 90.00 90.00°
Space group Pm-3m (No. 221)
Asymmetric unit:
Ca (0.000, 0.000, 0.000) [1 per cell]
Tl (0.500, 0.500, 0.500) [1 per cell]
Pb (0.000, 0.000, 0.500) [3 per cell]

DFT formation energy (eV per atom): 0.375

=====

[12]
# MnSb5

A crystal of MnSb5 relaxed with PBEsol (meta-GGA SCAN, the Alexandria database).

Cell: 13.296 3.305 7.544 Å, 90.00 110.48 90.00°
Space group Cm (No. 8)
Asymmetric unit:
Mn (0.000, 0.000, 0.000) [2 per cell]
Sb (0.004, 0.000, 0.376) [2 per cell]
Sb (0.106, 0.500, 0.817) [2 per cell]
Sb (0.152, 0.500, 0.227) [2 per cell]
Sb (0.351, 0.000, 0.045) [2 per cell]
Sb (0.376, 0.000, 0.680) [2 per cell]

ΔE to the lowest computed polymorph (meV/atom): 0
Formation energy from raw total energies (meV per atom): 164

=====

[13]
# TaTe2PtN

A crystal of TaTe2PtN relaxed with PBEsol (meta-GGA SCAN, the Alexandria database).

Cell: 5.371 5.371 3.800 Å, 90.00 90.00 90.00°
Space group P4/mmm (No. 123)
Asymmetric unit:
Ta (0.000, 0.000, 0.000) [1 per cell]
Te (0.000, 0.500, 0.000) [2 per cell]
Pt (0.500, 0.500, 0.500) [1 per cell]
N (0.000, 0.000, 0.500) [1 per cell]

Formation energy from raw total energies (meV per atom): 480

=====

[14]
# CaCuRh2

A crystal of CaCuRh2 relaxed with PBEsol (meta-GGA SCAN, the Alexandria database).

Cell: 5.467 8.974 2.776 Å, 90.00 117.25 90.00°
Space group C2/m (No. 12)
Asymmetric unit:
Ca (0.000, 0.000, 0.000) [2 per cell]
Cu (0.000, 0.500, 0.000) [2 per cell]
Rh (0.250, 0.250, 0.500) [4 per cell]

DFT formation energy (eV per atom): 0.047
ΔE to the lowest computed polymorph (meV/atom): 6

=====

[15]
# ScTi2AlAu

A crystal of ScTi2AlAu relaxed with PBEsol (meta-GGA SCAN, the Alexandria database).

Cell: 4.722 4.722 4.604 Å, 90.00 90.00 90.00°
Space group P4/mmm (No. 123)
Asymmetric unit:
Sc (0.000, 0.000, 0.000) [1 per cell]
Ti (0.000, 0.500, 0.500) [2 per cell]
Al (0.500, 0.500, 0.500) [1 per cell]
Au (0.500, 0.500, 0.000) [1 per cell]

DFT formation energy (eV per atom): 0.301

=====

[16]
# SrCr2SnMo

A crystal of SrCr2SnMo relaxed with PBEsol (meta-GGA SCAN, the Alexandria database).

Cell: 5.123 5.123 6.012 Å, 90.00 90.00 90.00°
Space group P4/mmm (No. 123)
Asymmetric unit:
Sr (0.000, 0.000, 0.000) [1 per cell]
Cr (0.000, 0.500, 0.500) [2 per cell]
Sn (0.000, 0.000, 0.500) [1 per cell]
Mo (0.500, 0.500, 0.000) [1 per cell]

DFT formation energy (eV per atom): 1.367

=====

[17]
# LaMg2Tl

A crystal of LaMg2Tl relaxed with PBEsol (meta-GGA SCAN, the Alexandria database).

Cell: 4.655 4.655 4.927 Å, 90.00 90.00 90.00°
Space group P4/mmm (No. 123)
Asymmetric unit:
La (0.000, 0.000, 0.000) [1 per cell]
Mg (0.000, 0.500, 0.500) [2 per cell]
Tl (0.500, 0.500, 0.000) [1 per cell]

DFT formation energy (eV per atom): -0.321
ΔE to the lowest computed polymorph (meV/atom): 13

=====

[18]
# KBeP

A crystal of KBeP relaxed with PBEsol (meta-GGA SCAN, the Alexandria database).

Cell: 6.002 3.701 11.955 Å, 90.00 90.00 90.00°
Space group Pnma (No. 62)
Asymmetric unit:
K (0.094, 0.250, 0.160) [4 per cell]
Be (0.066, 0.250, 0.465) [4 per cell]
P (0.148, 0.750, 0.391) [4 per cell]

DFT formation energy (eV per atom): -0.596

=====

[19]
# Bi2AsIr

A crystal of Bi2AsIr relaxed with PBEsol (meta-GGA SCAN, the Alexandria database).

Cell: 6.367 6.367 12.080 Å, 90.00 90.00 90.00°
Space group I-42d (No. 122)
Asymmetric unit:
Bi (0.220, 0.250, 0.125) [8 per cell]
As (0.000, 0.000, 0.500) [4 per cell]
Ir (0.000, 0.000, 0.000) [4 per cell]

DFT formation energy (eV per atom): 0.392

=====

[20]
# Sr2CrSi

A crystal of Sr2CrSi relaxed with PBEsol (meta-GGA SCAN, the Alexandria database).

Cell: 3.507 4.335 7.224 Å, 90.00 90.00 90.00°
Space group Pmmm (No. 47)
Asymmetric unit:
Sr (0.000, 0.000, 0.229) [2 per cell]
Cr (0.500, 0.500, 0.500) [1 per cell]
Si (0.500, 0.500, 0.000) [1 per cell]

Formation energy from raw total energies (meV per atom): 147